Computed, not measured: a relaxed structure of Li6FeNi9O20 at the GGA+U level of DFT.

Crystal system: triclinic
M_tot (Bohr magnetons per cell): 10.0
Mass density (g/cm3): 4.5
Raw total energy (eV/atom): -4.916

Lattice parameters (Å, degrees): 6.545 7.593 7.671 66.19 87.36 88.76
Element x y z (fractional)
Li  0.000  0.000  0.000
Li  0.198  0.777  0.798
Li  0.298  0.235  0.700
Li  0.500  0.000  0.500
Li  0.702  0.765  0.300
Li  0.802  0.223  0.202
Fe  0.500  0.500  0.000
Ni  0.000  0.500  0.500
Ni  0.098  0.903  0.399
Ni  0.194  0.298  0.301
Ni  0.297  0.704  0.201
Ni  0.398  0.100  0.098
Ni  0.602  0.900  0.902
Ni  0.703  0.296  0.799
Ni  0.806  0.702  0.699
Ni  0.902  0.097  0.601
O  0.025  0.762  0.260
O  0.080  0.672  0.618
O  0.110  0.136  0.179
O  0.173  0.039  0.545
O  0.231  0.558  0.057
O  0.265  0.443  0.436
O  0.317  0.965  0.954
O  0.371  0.865  0.329
O  0.429  0.332  0.871
O  0.474  0.243  0.236
O  0.526  0.757  0.764
O  0.571  0.668  0.129
O  0.629  0.135  0.671
O  0.683  0.035  0.046
O  0.735  0.557  0.564
O  0.769  0.442  0.943
O  0.827  0.961  0.455
O  0.890  0.864  0.821
O  0.920  0.328  0.382
O  0.975  0.238  0.740